Entry 1:
{"formula": "Li2CdBrO4", "functional": "PBE", "state": "relaxed", "lattice": [[4.545, -4.322, 0.000], [4.545, 4.322, 0.000], [-4.257, 0.000, 4.871]], "species": ["Li", "Li", "Li", "Li", "Cd", "Cd", "Br", "Br", "O", "O", "O", "O", "O", "O", "O", "O"], "frac_coords": [[0.000, 0.000, 0.000], [0.000, 0.000, 0.500], [0.000, 0.500, 0.000], [0.500, 0.000, 0.500], [0.500, 0.500, 0.000], [0.500, 0.500, 0.500], [0.000, 0.500, 0.500], [0.500, 0.000, 0.000], [0.173, 0.695, 0.435], [0.236, 0.266, 0.507], [0.266, 0.236, 0.007], [0.305, 0.827, 0.065], [0.695, 0.173, 0.935], [0.734, 0.764, 0.993], [0.764, 0.734, 0.493], [0.827, 0.305, 0.565]], "crystal_system": "monoclinic", "volume_a3_per_cell": 191, "formation_energy_uncorrected_mev_per_atom": -801, "total_magnetization_mub_per_cell": 0.00}

***

Entry 2:
{"formula": "Li2CdPbBr6", "functional": "PBE", "state": "relaxed", "lattice": [[3.569, 2.060, 6.506], [-3.569, 2.060, 6.506], [0.000, -4.121, 6.506]], "species": ["Li", "Li", "Cd", "Pb", "Br", "Br", "Br", "Br", "Br", "Br"], "frac_coords": [[0.000, 0.000, 0.000], [0.499, 0.499, 0.499], [0.807, 0.807, 0.807], [0.304, 0.304, 0.304], [0.093, 0.396, 0.738], [0.225, 0.863, 0.625], [0.396, 0.738, 0.093], [0.625, 0.225, 0.863], [0.738, 0.093, 0.396], [0.863, 0.625, 0.225]], "crystal_system": "trigonal", "volume_a3_per_cell": 287, "formation_energy_uncorrected_mev_per_atom": -1110, "total_magnetization_mub_per_cell": 0.00}

***

Entry 3:
{"formula": "Rb2LiCdBr6", "functional": "PBE", "state": "relaxed", "lattice": [[-3.870, 3.870, 5.484], [3.870, -3.870, 5.484], [3.870, 3.870, -5.484]], "species": ["Rb", "Rb", "Li", "Cd", "Br", "Br", "Br", "Br", "Br", "Br"], "frac_coords": [[0.250, 0.750, 0.500], [0.750, 0.250, 0.500], [0.000, 0.000, 0.000], [0.500, 0.500, 0.000], [0.247, 0.247, 0.000], [0.247, 0.247, 0.494], [0.247, 0.753, 0.000], [0.753, 0.247, 0.000], [0.753, 0.753, 0.000], [0.753, 0.753, 0.506]], "crystal_system": "tetragonal", "volume_a3_per_cell": 329, "formation_energy_uncorrected_mev_per_atom": -1185, "total_magnetization_mub_per_cell": 0.00}

***

Entry 4:
{"formula": "Rb2LiCdBr5", "functional": "PBE", "state": "relaxed", "lattice": [[2.194, -10.037, 0.000], [2.194, 10.037, 0.000], [0.000, 0.000, 14.060]], "species": ["Rb", "Rb", "Rb", "Rb", "Li", "Li", "Cd", "Cd", "Br", "Br", "Br", "Br", "Br", "Br", "Br", "Br", "Br", "Br"], "frac_coords": [[0.114, 0.886, 0.500], [0.127, 0.873, 0.122], [0.873, 0.127, 0.622], [0.886, 0.114, 0.000], [0.427, 0.573, 0.251], [0.573, 0.427, 0.751], [0.211, 0.789, 0.833], [0.789, 0.211, 0.333], [0.072, 0.928, 0.846], [0.286, 0.714, 0.467], [0.304, 0.696, 0.193], [0.344, 0.656, 0.815], [0.496, 0.504, 0.104], [0.504, 0.496, 0.604], [0.656, 0.344, 0.315], [0.696, 0.304, 0.693], [0.714, 0.286, 0.967], [0.928, 0.072, 0.346]], "crystal_system": "orthorhombic", "volume_a3_per_cell": 619, "formation_energy_uncorrected_mev_per_atom": -1410, "total_magnetization_mub_per_cell": 0.01}

***

Entry 5:
{"formula": "RbLiCd2Br6", "functional": "PBE", "state": "relaxed", "lattice": [[7.313, -7.040, 0.000], [7.313, 7.040, 0.000], [-3.041, 0.000, 7.657]], "species": ["Rb", "Rb", "Li", "Li", "Cd", "Cd", "Cd", "Cd", "Br", "Br", "Br", "Br", "Br", "Br", "Br", "Br", "Br", "Br", "Br", "Br"], "frac_coords": [[0.133, 0.867, 0.750], [0.867, 0.133, 0.250], [0.200, 0.800, 0.250], [0.800, 0.200, 0.750], [0.233, 0.382, 0.821], [0.382, 0.233, 0.321], [0.618, 0.767, 0.679], [0.767, 0.618, 0.179], [0.038, 0.189, 0.682], [0.142, 0.619, 0.960], [0.189, 0.038, 0.182], [0.298, 0.435, 0.545], [0.381, 0.858, 0.540], [0.435, 0.298, 0.045], [0.565, 0.702, 0.955], [0.619, 0.142, 0.460], [0.702, 0.565, 0.455], [0.811, 0.962, 0.818], [0.858, 0.381, 0.040], [0.962, 0.811, 0.318]], "crystal_system": "monoclinic", "volume_a3_per_cell": 788, "formation_energy_uncorrected_mev_per_atom": -1152, "total_magnetization_mub_per_cell": 0.00}

***

Entry 6:
{"formula": "LiCdSn2Br", "functional": "PBE", "state": "relaxed", "lattice": [[5.829, 0.000, 0.000], [0.000, 5.829, 0.000], [0.000, 0.000, 4.484]], "species": ["Li", "Cd", "Sn", "Sn", "Br"], "frac_coords": [[0.000, 0.000, 0.000], [0.500, 0.500, 0.000], [0.000, 0.500, 0.500], [0.500, 0.000, 0.500], [0.000, 0.000, 0.500]], "crystal_system": "tetragonal", "volume_a3_per_cell": 152, "formation_energy_uncorrected_mev_per_atom": 136, "total_magnetization_mub_per_cell": 0.00}

***

Entry 7:
{"formula": "SrLi2CdBr6", "functional": "PBE", "state": "relaxed", "lattice": [[7.151, -5.832, 0.000], [7.151, 5.832, 0.000], [-3.172, 0.000, 7.443]], "species": ["Sr", "Sr", "Li", "Li", "Li", "Li", "Cd", "Cd", "Br", "Br", "Br", "Br", "Br", "Br", "Br", "Br", "Br", "Br", "Br", "Br"], "frac_coords": [[0.179, 0.821, 0.750], [0.821, 0.179, 0.250], [0.288, 0.368, 0.781], [0.368, 0.288, 0.281], [0.632, 0.712, 0.719], [0.712, 0.632, 0.219], [0.192, 0.808, 0.250], [0.808, 0.192, 0.750], [0.066, 0.176, 0.649], [0.130, 0.601, 0.947], [0.176, 0.066, 0.149], [0.255, 0.482, 0.520], [0.399, 0.870, 0.553], [0.482, 0.255, 0.020], [0.518, 0.745, 0.980], [0.601, 0.130, 0.447], [0.745, 0.518, 0.480], [0.824, 0.934, 0.851], [0.870, 0.399, 0.053], [0.934, 0.824, 0.351]], "crystal_system": "monoclinic", "volume_a3_per_cell": 621, "formation_energy_uncorrected_mev_per_atom": -1443, "total_magnetization_mub_per_cell": 0.00}

***

Entry 8:
{"formula": "LiTlCdBr4", "functional": "PBE", "state": "relaxed", "lattice": [[6.807, 0.000, 0.000], [0.000, 8.017, 0.000], [-1.705, 0.000, 8.641]], "species": ["Li", "Li", "Tl", "Tl", "Cd", "Cd", "Br", "Br", "Br", "Br", "Br", "Br", "Br", "Br"], "frac_coords": [[0.199, 0.250, 0.322], [0.801, 0.750, 0.678], [0.303, 0.250, 0.927], [0.697, 0.750, 0.073], [0.288, 0.750, 0.660], [0.712, 0.250, 0.340], [0.030, 0.250, 0.557], [0.102, 0.750, 0.903], [0.438, 0.012, 0.270], [0.438, 0.488, 0.270], [0.562, 0.512, 0.730], [0.562, 0.988, 0.730], [0.898, 0.250, 0.097], [0.970, 0.750, 0.443]], "crystal_system": "monoclinic", "volume_a3_per_cell": 472, "formation_energy_uncorrected_mev_per_atom": -1016, "total_magnetization_mub_per_cell": 0.00}

***

Entry 9:
{"formula": "Li3Tl3CdBr8", "functional": "PBE", "state": "relaxed", "lattice": [[7.145, -4.120, 0.000], [7.145, 4.120, 0.000], [-4.760, 0.000, 7.685]], "species": ["Li", "Li", "Li", "Tl", "Tl", "Tl", "Cd", "Br", "Br", "Br", "Br", "Br", "Br", "Br", "Br"], "frac_coords": [[0.000, 0.000, 0.000], [0.000, 0.500, 0.000], [0.500, 0.000, 0.000], [0.000, 0.500, 0.500], [0.500, 0.000, 0.500], [0.500, 0.500, 0.500], [0.500, 0.500, 0.000], [0.231, 0.734, 0.198], [0.232, 0.232, 0.196], [0.266, 0.769, 0.802], [0.267, 0.267, 0.803], [0.733, 0.733, 0.197], [0.734, 0.231, 0.198], [0.768, 0.768, 0.804], [0.769, 0.266, 0.802]], "crystal_system": "monoclinic", "volume_a3_per_cell": 452, "formation_energy_uncorrected_mev_per_atom": -1100, "total_magnetization_mub_per_cell": 0.00}

***

Entry 10:
{"formula": "LiTl2CdBr5", "functional": "PBE", "state": "relaxed", "lattice": [[2.135, -9.561, 0.000], [2.135, 9.561, 0.000], [0.000, 0.000, 14.145]], "species": ["Li", "Li", "Tl", "Tl", "Tl", "Tl", "Cd", "Cd", "Br", "Br", "Br", "Br", "Br", "Br", "Br", "Br", "Br", "Br"], "frac_coords": [[0.064, 0.936, 0.500], [0.936, 0.064, 0.000], [0.372, 0.628, 0.373], [0.399, 0.601, 0.732], [0.601, 0.399, 0.232], [0.628, 0.372, 0.873], [0.291, 0.709, 0.084], [0.709, 0.291, 0.584], [0.000, 0.000, 0.346], [0.000, 0.000, 0.846], [0.147, 0.853, 0.060], [0.194, 0.806, 0.448], [0.218, 0.782, 0.717], [0.438, 0.562, 0.098], [0.562, 0.438, 0.598], [0.782, 0.218, 0.217], [0.806, 0.194, 0.948], [0.853, 0.147, 0.560]], "crystal_system": "orthorhombic", "volume_a3_per_cell": 578, "formation_energy_uncorrected_mev_per_atom": -1008, "total_magnetization_mub_per_cell": 0.00}

***

| no. | calculated density (kg/m³) |
| --- | --- |
| 1 | 4689 |
| 2 | 4702 |
| 3 | 3890 |
| 4 | 3699 |
| 5 | 3356 |
| 6 | 4760 |
| 7 | 3709 |
| 8 | 4531 |
| 9 | 5085 |
| 10 | 5334 |